(1)
Below is a relaxed structure of Pm5ErAg6, with properties calculated at the PBE level.

Properties
Spin magnetization: 0.000 μB per cell
VASP energy: -4.06 eV per atom
ΔH_f (0 K): -279.5 meV per atom

Lattice parameters (Å, degrees): 5.2701 7.3481 8.3666 90.00 71.24 90.00
Fractional coordinates of all 12 atoms:
1 Ag 0.5000 0.2419 0.0000
2 Ag 0.5000 0.7581 0.0000
3 Ag 0.8373 0.7552 0.3255
4 Ag 0.1627 0.7552 0.6745
5 Ag 0.1627 0.2448 0.6745
6 Ag 0.8373 0.2448 0.3255
7 Pm 0.0000 0.5000 0.0000
8 Pm 0.6659 0.0000 0.6684
9 Pm 0.3319 0.5000 0.3364
10 Pm 0.3341 0.0000 0.3316
11 Pm 0.6681 0.5000 0.6636
12 Er 0.0000 0.0000 0.0000

***

(2)
Below is a relaxed structure of LaCoRh2, with properties calculated at the PBE level.

Properties
Spin magnetization: 1.980 μB per cell
ΔE to the lowest computed polymorph: 290 meV per atom
VASP energy: -6.65 eV per atom
ΔH_f (0 K): 35.6 meV per atom

Lattice parameters (Å, degrees): 3.4183 3.4183 6.1204 90.00 90.00 90.01
Each line ends with the local moment (μB).
Fractional coordinates of all 4 atoms:
1 Rh 0.5000 0.5000 0.2853  0.46
2 Rh 0.0000 0.0000 0.0223  0.05
3 La 0.5000 0.5000 0.7611  -0.08
4 Co 0.0000 0.0000 0.4314  1.64

***

(3)
Below is a relaxed structure of Cd3Cl5F, with properties calculated at the PBE level.

Properties
Spin magnetization: 0.001 μB per cell
ΔE to the lowest computed polymorph: 19 meV per atom
Formation energy from raw total energies: -1.216 eV per atom
VASP energy: -2.75 eV per atom

Lattice parameters (Å, degrees): 7.3770 7.3770 9.1731 72.13 72.13 74.43
Fractional coordinates of all 18 atoms:
1 Cl 0.4427 0.4427 0.3638
2 Cl 0.7698 0.7698 0.0496
3 Cl 0.7003 0.2997 0.0000
4 Cl 0.9735 0.3639 0.3418
5 Cl 0.0265 0.6361 0.6582
6 Cl 0.2302 0.2302 0.9504
7 Cl 0.5573 0.5573 0.6362
8 Cl 0.6361 0.0265 0.6582
9 Cl 0.3639 0.9735 0.3418
10 Cl 0.2997 0.7003 0.0000
11 Cd 0.3335 0.3335 0.1662
12 Cd 0.2952 0.2952 0.6453
13 Cd 0.0000 0.0000 0.5000
14 Cd 0.0000 0.0000 0.0000
15 Cd 0.6665 0.6665 0.8338
16 Cd 0.7048 0.7048 0.3547
17 F 0.9096 0.9096 0.2897
18 F 0.0904 0.0904 0.7103

***

(4)
Below is a relaxed structure of Mg3As4Rh7, with properties calculated at the PBE level.

Properties
Spin magnetization: 0.000 μB per cell
VASP energy: -5.87 eV per atom
ΔH_f (0 K): -523.3 meV per atom

Lattice parameters (Å, degrees): 3.9586 8.1130 7.9699 67.50 75.62 75.88
Fractional coordinates of all 14 atoms:
1 Rh 0.7079 0.1358 0.4483
2 Rh 0.0000 0.0000 0.0000
3 Rh 0.1668 0.5959 0.0706
4 Rh 0.8332 0.4041 0.9294
5 Rh 0.4898 0.2562 0.7642
6 Rh 0.2921 0.8642 0.5517
7 Rh 0.5102 0.7438 0.2358
8 Mg 0.0000 0.5000 0.5000
9 Mg 0.3463 0.1581 0.1494
10 Mg 0.6537 0.8419 0.8506
11 As 0.1074 0.1256 0.6597
12 As 0.6665 0.4352 0.2318
13 As 0.8926 0.8744 0.3403
14 As 0.3335 0.5648 0.7682

***

(5)
Below is a relaxed structure of TiGaCu, with properties calculated at the PBE level.

Properties
Spin magnetization: 0.000 μB per cell
VASP energy: -5.31 eV per atom
ΔH_f (0 K): -303.7 meV per atom

Lattice parameters (Å, degrees): 3.9496 3.9471 5.9082 109.53 90.01 90.00
Fractional coordinates of all 6 atoms:
1 Ga 0.8384 0.4520 0.9690
2 Ga 0.3383 0.6435 0.3521
3 Ti 0.8383 0.1379 0.3407
4 Ti 0.3384 0.9577 0.9803
5 Cu 0.3382 0.2983 0.6611
6 Cu 0.8382 0.7976 0.6598

***

(6)
Below is a relaxed structure of Ba3In2Cu, with properties calculated at the PBE level.

Properties
Spin magnetization: 0.000 μB per cell
VASP energy: -2.80 eV per atom
ΔH_f (0 K): -246.3 meV per atom

Lattice parameters (Å, degrees): 8.1521 8.1521 7.3294 79.46 79.46 92.96
Fractional coordinates of all 12 atoms:
1 Cu 0.2988 0.7012 0.7500
2 Cu 0.7012 0.2988 0.2500
3 Ba 0.2700 0.0525 0.4287
4 Ba 0.0525 0.2700 0.9287
5 Ba 0.4039 0.5961 0.2500
6 Ba 0.9475 0.7300 0.0713
7 Ba 0.7300 0.9475 0.5713
8 Ba 0.5961 0.4039 0.7500
9 In 0.0343 0.6416 0.5894
10 In 0.9657 0.3584 0.4106
11 In 0.6416 0.0343 0.0894
12 In 0.3584 0.9657 0.9106

***

(7)
Below is a relaxed structure of AgMoIr2, with properties calculated at the PBE level.

Properties
Spin magnetization: 0.000 μB per cell
ΔE to the lowest computed polymorph: 195 meV per atom
VASP energy: -7.65 eV per atom
ΔH_f (0 K): 205.0 meV per atom

Lattice parameters (Å, degrees): 4.9283 4.9283 4.8402 79.70 79.70 32.58
Fractional coordinates of all 4 atoms:
1 Mo 0.5100 0.5100 0.4759
2 Ag 0.7440 0.7440 0.7639
3 Ir 0.2592 0.2592 0.2654
4 Ir 0.9868 0.9868 0.9948

***

(8)
Below is a relaxed structure of Sr2InFe, with properties calculated at the PBE level.

Properties
Spin magnetization: 2.355 μB per cell
VASP energy: -3.44 eV per atom
ΔH_f (0 K): 204.1 meV per atom

Lattice parameters (Å, degrees): 3.7267 3.7267 9.0768 90.00 90.00 90.00
Each line ends with the local moment (μB).
Fractional coordinates of all 4 atoms:
1 Sr 0.5000 0.5000 0.3205  -0.04
2 Sr 0.0000 0.0000 0.9320  -0.01
3 Fe 0.0000 0.0000 0.5720  2.59
4 In 0.5000 0.5000 0.6754  -0.07

***

(9)
Below is a relaxed structure of CdReSe2, with properties calculated at the PBE level.

Properties
Spin magnetization: 0.000 μB per cell
ΔE to the lowest computed polymorph: 0 meV per atom
Formation energy from raw total energies: 0.009 eV per atom
VASP energy: -5.07 eV per atom

Lattice parameters (Å, degrees): 10.2667 10.2667 10.2667 17.68 17.68 17.68
Fractional coordinates of all 4 atoms:
1 Se 0.8925 0.8925 0.8925
2 Se 0.1075 0.1075 0.1075
3 Re 0.5000 0.5000 0.5000
4 Cd 0.0000 0.0000 0.0000

***

(10)
Below is a relaxed structure of Pr2Dy3, with properties calculated at the PBE level.

Properties
Spin magnetization: 0.000 μB per cell
VASP energy: -4.65 eV per atom
ΔH_f (0 K): 20.5 meV per atom

Lattice parameters (Å, degrees): 5.1049 6.2460 6.2687 80.52 65.97 65.88
Fractional coordinates of all 5 atoms:
1 Dy 0.0000 0.5000 0.5000
2 Dy 0.8000 0.3019 0.0981
3 Dy 0.2000 0.6981 0.9019
4 Pr 0.5987 0.1027 0.6999
5 Pr 0.4013 0.8973 0.3001

***

(11)
Below is a relaxed structure of Ac2ZnAgTe5, with properties calculated at the PBE level.

Properties
Spin magnetization: 0.000 μB per cell
Formation energy from raw total energies: -0.940 eV per atom
VASP energy: -4.06 eV per atom

Lattice parameters (Å, degrees): 4.5079 10.1696 12.8773 90.00 90.00 102.81
Fractional coordinates of all 18 atoms:
1 Te 0.6419 0.2838 0.4991
2 Te 0.2815 0.5629 0.6646
3 Te 0.4997 0.9994 0.2809
4 Te 0.9517 0.9033 0.5614
5 Te 0.3032 0.6064 0.3548
6 Te 0.5003 0.0006 0.7809
7 Te 0.0483 0.0967 0.0614
8 Te 0.3581 0.7162 0.9991
9 Te 0.6968 0.3936 0.8548
10 Te 0.7185 0.4371 0.1646
11 Zn 0.5697 0.1394 0.9576
12 Zn 0.4303 0.8606 0.4576
13 Ag 0.2072 0.4143 0.0152
14 Ag 0.7928 0.5857 0.5152
15 Ac 0.8886 0.7771 0.1887
16 Ac 0.1282 0.2563 0.3017
17 Ac 0.8718 0.7437 0.8017
18 Ac 0.1114 0.2229 0.6887

***

(12)
Below is a relaxed structure of TmPaNi, with properties calculated at the PBE level.

Properties
Spin magnetization: 0.000 μB per cell
ΔE to the lowest computed polymorph: 29 meV per atom
VASP energy: -6.72 eV per atom
ΔH_f (0 K): -132.3 meV per atom

Lattice parameters (Å, degrees): 3.4445 3.4445 6.0888 106.43 106.43 90.00
Fractional coordinates of all 3 atoms:
1 Ni 0.6906 0.6906 0.3813
2 Pa 0.2994 0.2994 0.5989
3 Tm 0.0099 0.0099 0.0198

***

Question: Which value of VASP energy does entry 9 give?
Answer: -5.07 eV per atom

***

Question: Among the records above, which one has the lowest VASP energy?
Answer: AgMoIr2

***

Question: Among the records above, which one has the lowest VASP energy?
Answer: AgMoIr2